Entry 1:
KNa2AgCl4 GGA-PBE relaxed; space-group type = No. 63; electronic total energy = -3.2230 eV/atom; ρ = 2.621 g cm⁻³
1.0
2.077 -7.054 0.000
2.077 7.054 0.000
0.000 0.000 14.479
K Na Ag Cl
2 4 2 8
direct
0.135 0.865 0.750
0.865 0.135 0.250
0.375 0.625 0.545
0.375 0.625 0.955
0.625 0.375 0.045
0.625 0.375 0.455
0.139 0.861 0.250
0.861 0.139 0.750
0.000 0.000 0.000
0.000 0.000 0.500
0.257 0.743 0.113
0.257 0.743 0.387
0.467 0.533 0.750
0.533 0.467 0.250
0.743 0.257 0.613
0.743 0.257 0.887

***

Entry 2:
KNaAgCl3 GGA-PBE relaxed; space-group type = No. 11; electronic total energy = -3.1780 eV/atom; ρ = 2.745 g cm⁻³
1.0
8.485 0.000 0.000
0.000 4.176 0.000
-2.520 0.000 9.434
K Na Ag Cl
2 2 2 6
direct
0.204 0.250 0.219
0.796 0.750 0.781
0.344 0.750 0.869
0.656 0.250 0.131
0.109 0.250 0.595
0.891 0.750 0.405
0.101 0.250 0.855
0.235 0.750 0.506
0.449 0.750 0.159
0.551 0.250 0.841
0.765 0.250 0.494
0.899 0.750 0.145

***

Entry 3:
K2NaAgCl5 GGA-PBE relaxed; space-group type = No. 36; electronic total energy = -3.0962 eV/atom; ρ = 2.536 g cm⁻³
1.0
2.132 -8.639 0.000
2.132 8.639 0.000
0.000 0.000 13.732
K Na Ag Cl
4 2 2 10
direct
0.101 0.899 0.500
0.150 0.850 0.115
0.850 0.150 0.615
0.899 0.101 0.000
0.207 0.793 0.844
0.793 0.207 0.344
0.476 0.524 0.261
0.524 0.476 0.761
0.049 0.951 0.869
0.274 0.726 0.475
0.337 0.663 0.206
0.382 0.618 0.806
0.485 0.515 0.586
0.515 0.485 0.086
0.618 0.382 0.306
0.663 0.337 0.706
0.726 0.274 0.975
0.951 0.049 0.369

***

Entry 4:
K2NaAg2Cl6 GGA-PBE relaxed; space-group type = No. 12; electronic total energy = -3.0030 eV/atom; ρ = 2.666 g cm⁻³
1.0
6.726 -3.626 0.000
6.726 3.626 0.000
-3.574 0.000 6.764
K Na Ag Cl
2 1 2 6
direct
0.231 0.231 0.187
0.769 0.769 0.813
0.000 0.000 0.500
0.438 0.438 0.771
0.562 0.562 0.229
0.177 0.680 0.181
0.235 0.235 0.602
0.320 0.823 0.819
0.680 0.177 0.181
0.765 0.765 0.398
0.823 0.320 0.819

***

Entry 5:
KNbAgCl6 GGA-PBE relaxed; space-group type = No. 163; electronic total energy = -4.0103 eV/atom; ρ = 2.720 g cm⁻³
1.0
6.955 0.000 0.000
-3.478 6.024 0.000
0.000 0.000 13.192
K Nb Ag Cl
2 2 2 12
direct
0.000 0.000 0.000
0.000 0.000 0.500
0.333 0.667 0.250
0.667 0.333 0.750
0.333 0.667 0.750
0.667 0.333 0.250
0.038 0.389 0.143
0.038 0.649 0.357
0.351 0.389 0.357
0.351 0.962 0.143
0.389 0.038 0.643
0.389 0.351 0.857
0.611 0.649 0.143
0.611 0.962 0.357
0.649 0.038 0.857
0.649 0.611 0.643
0.962 0.351 0.643
0.962 0.611 0.857

***

Entry 6:
KNbAg2Cl8 GGA-PBE relaxed; space-group type = No. 2; electronic total energy = -3.7111 eV/atom; ρ = 2.707 g cm⁻³
1.0
6.372 0.000 0.000
-1.043 7.260 0.000
-0.084 -3.556 8.373
K Nb Ag Cl
1 1 2 8
direct
0.000 0.000 0.000
0.000 0.000 0.500
0.480 0.645 0.180
0.520 0.355 0.820
0.091 0.769 0.246
0.138 0.813 0.629
0.340 0.204 0.534
0.447 0.262 0.061
0.553 0.738 0.939
0.660 0.796 0.466
0.862 0.187 0.371
0.909 0.231 0.754

***

Entry 7:
KNdAg2Cl8 GGA-PBE relaxed; space-group type = No. 82; electronic total energy = -3.3738 eV/atom; ρ = 3.365 g cm⁻³
1.0
-3.431 3.431 7.154
3.431 -3.431 7.154
3.431 3.431 -7.154
K Nd Ag Cl
1 1 2 8
direct
0.000 0.000 0.000
0.250 0.750 0.500
0.500 0.500 0.000
0.750 0.250 0.500
0.274 0.706 0.152
0.294 0.446 0.568
0.399 0.016 0.040
0.554 0.122 0.848
0.641 0.601 0.617
0.878 0.726 0.432
0.976 0.359 0.960
0.984 0.024 0.383

***

Entry 8:
KNdAgCl6 GGA-PBE relaxed; space-group type = No. 163; electronic total energy = -3.7309 eV/atom; ρ = 2.846 g cm⁻³
1.0
6.992 0.000 0.000
-3.496 6.055 0.000
0.000 0.000 13.891
K Nd Ag Cl
2 2 2 12
direct
0.000 0.000 0.000
0.000 0.000 0.500
0.333 0.667 0.250
0.667 0.333 0.750
0.333 0.667 0.750
0.667 0.333 0.250
0.011 0.375 0.638
0.011 0.636 0.862
0.364 0.375 0.862
0.364 0.989 0.638
0.375 0.011 0.138
0.375 0.364 0.362
0.625 0.636 0.638
0.625 0.989 0.862
0.636 0.011 0.362
0.636 0.625 0.138
0.989 0.364 0.138
0.989 0.625 0.362

***

Entry 9:
K2NdAgCl6 GGA-PBE relaxed; space-group type = No. 225; electronic total energy = -3.8375 eV/atom; energy above the lowest structure with this stoichiometry = 52 meV/atom; ρ = 2.793 g cm⁻³
1.0
0.000 5.445 5.445
5.445 0.000 5.445
5.445 5.445 0.000
K Nd Ag Cl
2 1 1 6
direct
0.250 0.250 0.250
0.750 0.750 0.750
0.000 0.000 0.000
0.500 0.500 0.500
0.250 0.250 0.750
0.250 0.750 0.250
0.250 0.750 0.750
0.750 0.250 0.250
0.750 0.250 0.750
0.750 0.750 0.250

***

Entry 10:
K3NdAg2Cl9 GGA-PBE relaxed; space-group type = No. 164; electronic total energy = -3.5258 eV/atom; ρ = 2.887 g cm⁻³
1.0
7.481 0.000 0.000
-3.741 6.479 0.000
0.000 0.000 9.448
K Nd Ag Cl
3 1 2 9
direct
0.000 0.000 0.000
0.333 0.667 0.734
0.667 0.333 0.266
0.000 0.000 0.500
0.333 0.667 0.156
0.667 0.333 0.844
0.000 0.500 0.000
0.167 0.333 0.325
0.167 0.833 0.325
0.333 0.167 0.675
0.500 0.000 0.000
0.500 0.500 0.000
0.667 0.833 0.325
0.833 0.167 0.675
0.833 0.667 0.675

***

Entry 11:
K2NdAgCl6 GGA-PBE relaxed; space-group type = No. 14; electronic total energy = -3.8892 eV/atom; energy above the lowest structure with this stoichiometry = 0 meV/atom; ρ = 3.007 g cm⁻³
1.0
7.384 0.000 0.000
0.000 7.794 0.000
-7.196 0.000 10.423
K Nd Ag Cl
4 2 2 12
direct
0.224 0.074 0.248
0.224 0.426 0.748
0.776 0.574 0.252
0.776 0.926 0.752
0.500 0.000 0.000
0.500 0.500 0.500
0.000 0.000 0.500
0.000 0.500 0.000
0.146 0.192 0.946
0.146 0.308 0.446
0.257 0.706 0.946
0.257 0.794 0.446
0.355 0.033 0.747
0.355 0.467 0.247
0.645 0.533 0.753
0.645 0.967 0.253
0.743 0.206 0.554
0.743 0.294 0.054
0.854 0.692 0.554
0.854 0.808 0.054

***

Entry 12:
KNdAgCl5 GGA-PBE relaxed; space-group type = No. 15; electronic total energy = -3.9860 eV/atom; ρ = 2.912 g cm⁻³
1.0
4.442 -6.311 0.000
4.442 6.311 0.000
-3.806 0.000 9.531
K Nd Ag Cl
2 2 2 10
direct
0.147 0.853 0.750
0.853 0.147 0.250
0.500 0.500 0.000
0.500 0.500 0.500
0.186 0.814 0.250
0.814 0.186 0.750
0.127 0.241 0.942
0.185 0.571 0.389
0.241 0.127 0.442
0.413 0.587 0.750
0.429 0.815 0.111
0.571 0.185 0.889
0.587 0.413 0.250
0.759 0.873 0.558
0.815 0.429 0.611
0.873 0.759 0.058

***

Entry 13:
KNi2AgCl GGA-PBE relaxed; space-group type = No. 123; electronic total energy = -2.0873 eV/atom; ρ = 3.918 g cm⁻³
1.0
4.869 0.000 0.000
0.000 4.869 0.000
0.000 0.000 5.360
K Ni Ag Cl
1 2 1 1
direct
0.000 0.000 0.000
0.000 0.500 0.000
0.500 0.000 0.000
0.500 0.500 0.500
0.000 0.000 0.500

***

Entry 14:
KNiAg2Cl8 GGA-PBE relaxed; space-group type = No. 2; electronic total energy = -2.8986 eV/atom; ρ = 3.157 g cm⁻³
1.0
6.224 0.000 0.000
1.298 6.126 0.000
1.984 1.775 8.238
K Ni Ag Cl
1 1 2 8
direct
0.000 0.000 0.000
0.000 0.000 0.500
0.445 0.450 0.244
0.555 0.550 0.756
0.156 0.752 0.701
0.239 0.234 0.490
0.247 0.840 0.305
0.342 0.322 0.990
0.658 0.678 0.010
0.753 0.160 0.695
0.761 0.766 0.510
0.844 0.248 0.299

***

Entry 15:
KNiAgCl6 GGA-PBE relaxed; space-group type = No. 149; electronic total energy = -3.0445 eV/atom; ρ = 2.721 g cm⁻³
1.0
6.645 0.000 0.000
-3.322 5.754 0.000
0.000 0.000 6.677
K Ni Ag Cl
1 1 1 6
direct
0.000 0.000 0.000
0.667 0.333 0.500
0.333 0.667 0.500
0.400 0.048 0.698
0.400 0.351 0.302
0.649 0.048 0.302
0.649 0.600 0.698
0.952 0.351 0.698
0.952 0.600 0.302

***

Entry 16:
K3NiAg2Cl8 GGA-PBE relaxed; space-group type = No. 164; electronic total energy = -3.1838 eV/atom; ρ = 2.863 g cm⁻³
1.0
6.939 0.000 0.000
-3.469 6.009 0.000
0.000 0.000 9.395
K Ni Ag Cl
3 1 2 8
direct
0.000 0.000 0.000
0.333 0.667 0.616
0.667 0.333 0.384
0.000 0.000 0.500
0.333 0.667 0.192
0.667 0.333 0.808
0.157 0.314 0.351
0.157 0.843 0.351
0.314 0.157 0.649
0.333 0.667 0.937
0.667 0.333 0.063
0.686 0.843 0.351
0.843 0.157 0.649
0.843 0.686 0.649

***

Entry 17:
KNpAg2Cl8 GGA-PBE relaxed; space-group type = No. 2; electronic total energy = -4.0749 eV/atom; ρ = 3.261 g cm⁻³
1.0
6.397 0.000 0.000
-1.200 7.077 0.000
-0.282 -3.278 8.723
K Np Ag Cl
1 1 2 8
direct
0.000 0.000 0.000
0.000 0.000 0.500
0.476 0.339 0.815
0.524 0.661 0.185
0.116 0.770 0.249
0.157 0.817 0.651
0.351 0.253 0.538
0.456 0.268 0.058
0.544 0.732 0.942
0.649 0.747 0.462
0.843 0.183 0.349
0.884 0.230 0.751

***

Entry 18:
KNpAgCl6 GGA-PBE relaxed; space-group type = No. 163; electronic total energy = -4.5860 eV/atom; ρ = 3.365 g cm⁻³
1.0
6.973 0.000 0.000
-3.486 6.038 0.000
0.000 0.000 13.989
K Np Ag Cl
2 2 2 12
direct
0.000 0.000 0.000
0.000 0.000 0.500
0.333 0.667 0.250
0.667 0.333 0.750
0.333 0.667 0.750
0.667 0.333 0.250
0.019 0.371 0.140
0.019 0.648 0.360
0.352 0.371 0.360
0.352 0.981 0.140
0.371 0.019 0.640
0.371 0.352 0.860
0.629 0.648 0.140
0.629 0.981 0.360
0.648 0.019 0.860
0.648 0.629 0.640
0.981 0.352 0.640
0.981 0.629 0.860

***

Entry 19:
K2NpAgCl6 GGA-PBE relaxed; space-group type = No. 12; electronic total energy = -4.4728 eV/atom; ρ = 3.460 g cm⁻³
1.0
6.477 -3.784 0.000
6.477 3.784 0.000
-4.279 0.000 6.224
K Np Ag Cl
2 1 1 6
direct
0.246 0.246 0.220
0.754 0.754 0.780
0.000 0.000 0.500
0.500 0.500 0.000
0.188 0.691 0.193
0.246 0.246 0.638
0.309 0.812 0.807
0.691 0.188 0.193
0.754 0.754 0.362
0.812 0.309 0.807